(1)
# SrB4Rh3O12 (PBE-GGA, optimized geometry)
data_SrB4Rh3O12
_chemical_formula_sum 'Sr3 B12 Rh9 O36'
_cell_length_a 9.7235
_cell_length_b 9.7235
_cell_length_c 7.8419
_cell_angle_alpha 90.00
_cell_angle_beta 90.00
_cell_angle_gamma 120.00
_space_group_name_H-M_alt 'R 3 2'
_space_group_IT_number 155
_space_group_name_Hall 'R 3 2"'
loop_
_atom_site_label
_atom_site_type_symbol
_atom_site_fract_x
_atom_site_fract_y
_atom_site_fract_z
_atom_site_occupancy
Sr1 Sr 0.0000 0.0000 0.0000 1
B1 B 0.0000 0.0000 0.5000 1
B2 B 0.0000 0.4379 0.5000 1
Rh1 Rh 0.0000 0.5570 0.0000 1
O1 O 0.0000 0.5840 0.5000 1
O2 O 0.0000 0.8568 0.5000 1
O3 O 0.0273 0.2161 0.1915 1
# DOS at the Fermi energy: 0.84 states/eV per atom
# ΔE_f (raw): -1745 meV/atom
# calculated volume: 642.1 Å³/cell

(2)
# DyTeIO4 (PBE-GGA, optimized geometry)
data_DyTeIO4
_chemical_formula_sum 'Dy4 Te4 I4 O16'
_cell_length_a 11.409
_cell_length_b 7.118
_cell_length_c 6.974
_cell_angle_alpha 90.00
_cell_angle_beta 105.55
_cell_angle_gamma 90.00
_space_group_name_H-M_alt 'C 1 2/m 1'
_space_group_IT_number 12
_space_group_name_Hall '-C 2y'
loop_
_atom_site_label
_atom_site_type_symbol
_atom_site_fract_x
_atom_site_fract_y
_atom_site_fract_z
_atom_site_occupancy
Dy1 Dy 0.246 0.000 0.367 1
Te1 Te 0.129 0.000 0.762 1
I1 I 0.002 0.500 0.247 1
O1 O 0.039 0.000 0.307 1
O2 O 0.198 0.000 0.033 1
O3 O 0.202 0.187 0.637 1
# DOS at the Fermi energy: 0.21 states/eV per atom
# ΔE_f (raw): -1588 meV/atom
# calculated volume: 545.6 Å³/cell

(3)
# KNa2ZnHg (PBE-GGA, optimized geometry)
data_KNa2ZnHg
_chemical_formula_sum 'K1 Na2 Zn1 Hg1'
_cell_length_a 5.849
_cell_length_b 5.849
_cell_length_c 5.097
_cell_angle_alpha 90.00
_cell_angle_beta 90.00
_cell_angle_gamma 90.00
_space_group_name_H-M_alt 'P 4/m m m'
_space_group_IT_number 123
_space_group_name_Hall '-P 4 2'
loop_
_atom_site_label
_atom_site_type_symbol
_atom_site_fract_x
_atom_site_fract_y
_atom_site_fract_z
_atom_site_occupancy
K1 K 0.000 0.000 0.000 1
Na1 Na 0.000 0.500 0.500 1
Zn1 Zn 0.500 0.500 0.500 1
Hg1 Hg 0.500 0.500 0.000 1
# formation energy: 0.046 kcal/mol of atoms
# DOS at the Fermi energy: 0.61 states/eV per atom
# calculated volume: 174.4 Å³/cell